Entry 1:
A plane-wave DFT calculation with PBE was carried out for a relaxed structure of Sr4Ac2O.

Summary:
- crystal system = tetragonal
- E_form (uncorrected) (eV/atom) = -0.54

a b c (Å): 4.9989 4.9989 23.6621
angles (deg): 90.00 90.00 90.00
Atoms (fractional coordinates):
1 Sr 0.0000 0.0000 0.1215
2 Sr 0.0000 0.0000 0.8785
3 Sr 0.0000 0.5000 0.0000
4 Sr 0.0000 0.5000 0.5000
5 Sr 0.5000 0.0000 0.0000
6 Sr 0.5000 0.0000 0.5000
7 Sr 0.5000 0.5000 0.3785
8 Sr 0.5000 0.5000 0.6215
9 Ac 0.0000 0.0000 0.2961
10 Ac 0.0000 0.0000 0.7039
11 Ac 0.5000 0.5000 0.2039
12 Ac 0.5000 0.5000 0.7961
13 O 0.0000 0.0000 0.0000
14 O 0.5000 0.5000 0.5000

---

Entry 2:
A plane-wave DFT calculation with PBE was carried out for a relaxed structure of TbTm3Al.

Summary:
- crystal system = monoclinic
- E_form (eV per atom) = -0.150
- relative energy among the computed polymorphs (eV per formula unit) = 0.00

a b c (Å): 6.6398 6.6398 12.3307
angles (deg): 94.93 94.93 30.93
Atoms (fractional coordinates):
1 Tb 0.2253 0.2253 0.2486
2 Tb 0.7747 0.7747 0.7514
3 Tm 0.0326 0.0326 0.6937
4 Tm 0.1410 0.1410 0.9507
5 Tm 0.3647 0.3647 0.5182
6 Tm 0.6353 0.6353 0.4818
7 Tm 0.8590 0.8590 0.0493
8 Tm 0.9674 0.9674 0.3063
9 Al 0.4507 0.4507 0.8784
10 Al 0.5493 0.5493 0.1216

---

| no. | electronic total energy (eV per atom) |
| --- | --- |
| 1 | -3.379 |
| 2 | -4.508 |